The following is a PBE calculation of a relaxed structure of LaPrNi2As4, from OQMD.

Properties
E_tot   -5.83 eV per atom
Calculated volume   163.1 Å³ per cell
M_tot   0.05 Bohr magnetons per cell

Unit cell a=4.031 b=4.031 c=10.039 alpha=90.00 beta=90.00 gamma=90.00
Fractional coordinates of all 8 atoms:
La  0.000  0.000  0.000
Pr  0.500  0.500  0.486
Ni  0.000  0.500  0.741
Ni  0.500  0.000  0.741
As  0.000  0.000  0.613
As  0.000  0.500  0.245
As  0.500  0.000  0.245
As  0.500  0.500  0.868

---

The following is a PBE calculation of a relaxed structure of LaNi2SbAs, from OQMD.

Properties
E_tot   -5.78 eV per atom
Calculated volume   188.5 Å³ per cell
M_tot   0.01 Bohr magnetons per cell

Unit cell a=4.403 b=4.403 c=9.723 alpha=90.00 beta=90.00 gamma=90.00
Fractional coordinates of all 10 atoms:
La  0.250  0.250  0.241
La  0.750  0.750  0.759
Ni  0.250  0.250  0.897
Ni  0.250  0.750  0.500
Ni  0.750  0.250  0.500
Ni  0.750  0.750  0.103
Sb  0.250  0.250  0.634
Sb  0.750  0.750  0.366
As  0.250  0.750  0.000
As  0.750  0.250  0.000

---

The following is a PBE calculation of a relaxed structure of La2Ni2SbAs, from OQMD.

Properties
E_tot   -5.94 eV per atom
Calculated volume   133.0 Å³ per cell
M_tot   0.01 Bohr magnetons per cell

Unit cell a=4.297 b=4.297 c=8.317 alpha=90.00 beta=90.00 gamma=120.00
Fractional coordinates of all 6 atoms:
La  0.000  0.000  0.238
La  0.000  0.000  0.762
Ni  0.333  0.667  0.500
Ni  0.667  0.333  0.000
Sb  0.667  0.333  0.500
As  0.333  0.667  0.000

---

Results for calculated density: 7.1, 8.0, 7.4 (in g/cm3, following the order of the records).